Here is Be3Ir after structural relaxation from Alexandria via LeMat-Bulk. Energies are from PBEsol.

Unit cell a=3.3532 b=3.3532 c=7.2177 alpha=103.43 beta=103.43 gamma=90.00
Last column: nearest neighbours and their distance in Å.
Element x y z (fractional)
Be: 0.0000 0.5000 0.0000  8 Be 2.37-2.39, 4 Ir 2.37
Be: 0.5000 0.0000 0.0000  8 Be 2.37-2.39, 4 Ir 2.37
Be: 0.7500 0.2500 0.5000  8 Be 2.37-2.39, 4 Ir 2.41
Be: 0.2500 0.7500 0.5000  8 Be 2.37-2.39, 4 Ir 2.41
Be: 0.8752 0.8752 0.7505  4 Ir 2.37, 8 Be 2.39
Be: 0.1248 0.1248 0.2495  4 Ir 2.37, 8 Be 2.39
Ir: 0.6232 0.6232 0.2463  12 Be 2.37-2.41
Ir: 0.3768 0.3768 0.7537  12 Be 2.37-2.41

Values from the calculation:
Space-group type   I4/mmm (139)
DFT formation energy   -0.4085 eV per atom